Compound: RbNdMo2O8
Source: Alexandria
Functional: GGA+U
Structure: relaxed

## Properties
Total DFT energy (no corrections)   -7.127 eV/atom

Cell: 5.241 19.552 8.379 Å, 90.00 90.00 90.00°
Space group Pbcn (No. 60)
Symmetry-distinct sites (fractional):
Rb 0.000 0.227 0.250 x4
Nd 0.000 0.005 0.750 x4
Mo 0.021 0.400 0.512 x8
O 0.098 0.317 0.980 x8
O 0.224 0.404 0.340 x8
O 0.236 0.410 0.680 x8
O 0.248 0.462 0.001 x8